# SmHfH

SmHfH after structural relaxation (PBE, Alexandria).

Results
energy = -5.970 eV/atom
symmetry = No. 8
N(E_F) = 3.0 states/eV/f.u.
crystal system = monoclinic

Cell: 5.7725 5.7725 6.5512 Å, 90.45 90.45 33.04°
Last column: nearest neighbours and their distance in Å.
Positions (direct):
Sm 0.0000 0.0000 0.0000  2 H 2.21
Sm 0.5266 0.5266 0.5106  3 H 2.21-2.25
Hf 0.2624 0.2624 0.7526  1 H 2.00
Hf 0.2659 0.2659 0.2545  2 H 1.95-1.99
H 0.1600 0.1600 0.4994  2 Hf 1.99-2.00, 2 Sm 2.21
H 0.4390 0.4390 0.1994  1 Hf 1.95